Below is an optimized crystal structure of La2YAs, with properties calculated at the PBE-GGA level.

extended XYZ file:
```
4
Lattice="2.0280 1.1709 9.7254 -2.0280 1.1709 9.7254 0.0000 -2.3417 9.7254" Properties=species:S:1:pos:R:3 pbc="T T T"
La 0.0000 0.0000 6.7139
La 0.0000 0.0000 22.4622
Y 0.0000 0.0000 0.0000
As 0.0000 0.0000 14.5880
```

Properties
Fermi-level density of states: 1.406 states/eV per atom
Raw total energy: -23.262 eV per formula unit
SG: R-3m
Magnetization: 1.35 μB/f.u.
Formation energy from the elements: -573 meV per atom
Volume: 34.64 Å³ per atom